{"formula": "ScAg2Hg", "functional": "GGA-PBE", "state": "relaxed", "cell": [[-1.205, 2.933, -4.122], [0.641, 0.356, -5.148], [-4.106, -2.240, -1.762]], "species": ["Hg", "Ag", "Ag", "Sc"], "fractional_positions": [[0.750, 0.750, 0.750], [0.997, 0.997, 0.008], [0.503, 0.503, 0.492], [0.250, 0.250, 0.250]], "magmom_total_mub_per_atom": 0.000, "formation_energy_ev_per_atom": -0.154, "volume_a3_per_atom": 19.960, "crystal_system": "monoclinic"}


{"formula": "ScAg2Hg", "functional": "GGA-PBE", "state": "relaxed", "cell": [[-1.247, 3.003, -1.418], [-1.410, -1.800, -2.573], [-6.903, -2.461, 0.861]], "species": ["Ag", "Sc", "Hg", "Ag"], "fractional_positions": [[0.000, 0.995, 0.005], [0.500, 0.743, 0.757], [0.000, 0.503, 0.497], [0.500, 0.259, 0.241]], "magmom_total_mub_per_atom": 0.000, "formation_energy_ev_per_atom": -0.174, "volume_a3_per_atom": 19.876, "crystal_system": "monoclinic"}